A relaxed structure of RbAgTeI2. Source: Alexandria via LeMat-Bulk, functional PBE.

Output
Final energy, eV per atom: -2.419
E_form (uncorrected), meV per atom: -407
Excess energy over the best structure of this formula in the dataset, eV/atom: 0.000
Symmetry: P4/mmm (123)
Total magnetic moment, μB per cell: 1.188

Unit cell a=6.002 b=6.002 c=5.509 alpha=90.00 beta=90.00 gamma=90.00
Each line ends with the local moment (μB).
Sites, in units of the cell vectors:
Rb  0.500  0.500  0.500  0.00
I  0.500  0.000  0.000  0.11
Te  0.000  0.000  0.500  0.45
I  0.000  0.500  0.000  0.11
Ag  0.000  0.000  0.000  0.04